First-principles (PBE-GGA) data for a geometry-optimized NdEuAl2 structure, as listed in Alexandria.

Calculated values
Formation energy   -25.5 kJ per mole of atoms
Size of the total moment   7.038 μB/f.u.
Fermi-level density of states   7.02 states/eV/f.u.

CIF file:
```
data_NdEuAl2
_space_group_name_H-M_alt 'F m -3 m'
_space_group_IT_number 225
_space_group_name_Hall '-F 4 2 3'
_cell_length_a 7.499
_cell_length_b 7.499
_cell_length_c 7.499
_cell_angle_alpha 90.00
_cell_angle_beta 90.00
_cell_angle_gamma 90.00
loop_
_atom_site_label
_atom_site_type_symbol
_atom_site_fract_x
_atom_site_fract_y
_atom_site_fract_z
_atom_site_occupancy
Nd1 Nd 0.000 0.000 0.000 1
Eu1 Eu 0.000 0.000 0.500 1
Al1 Al 0.250 0.250 0.250 1
```

First-principles (PBE-GGA) data for a geometry-optimized NdEuAlPb structure, as listed in Alexandria.

Calculated values
Formation energy   -33.8 kJ per mole of atoms
Size of the total moment   7.192 μB/f.u.
Fermi-level density of states   5.97 states/eV/f.u.

CIF file:
```
data_NdEuAlPb
_space_group_name_H-M_alt 'F -4 3 m'
_space_group_IT_number 216
_space_group_name_Hall 'F -4 2 3'
_cell_length_a 7.738
_cell_length_b 7.738
_cell_length_c 7.738
_cell_angle_alpha 90.00
_cell_angle_beta 90.00
_cell_angle_gamma 90.00
loop_
_atom_site_label
_atom_site_type_symbol
_atom_site_fract_x
_atom_site_fract_y
_atom_site_fract_z
_atom_site_occupancy
Nd1 Nd 0.000 0.000 0.000 1
Eu1 Eu 0.000 0.000 0.500 1
Al1 Al 0.250 0.250 0.750 1
Pb1 Pb 0.250 0.250 0.250 1
```

First-principles (PBE-GGA) data for a geometry-optimized NdEuAlPd structure, as listed in Alexandria.

Calculated values
Formation energy   -40.1 kJ per mole of atoms
Size of the total moment   6.898 μB/f.u.
Fermi-level density of states   8.01 states/eV/f.u.

CIF file:
```
data_NdEuAlPd
_space_group_name_H-M_alt 'F -4 3 m'
_space_group_IT_number 216
_space_group_name_Hall 'F -4 2 3'
_cell_length_a 7.395
_cell_length_b 7.395
_cell_length_c 7.395
_cell_angle_alpha 90.00
_cell_angle_beta 90.00
_cell_angle_gamma 90.00
loop_
_atom_site_label
_atom_site_type_symbol
_atom_site_fract_x
_atom_site_fract_y
_atom_site_fract_z
_atom_site_occupancy
Nd1 Nd 0.000 0.000 0.000 1
Eu1 Eu 0.000 0.000 0.500 1
Al1 Al 0.250 0.250 0.250 1
Pd1 Pd 0.250 0.250 0.750 1
```

First-principles (PBE-GGA) data for a geometry-optimized PmNdEuAl structure, as listed in Alexandria.

Calculated values
Formation energy   -5.5 kJ per mole of atoms
Size of the total moment   7.264 μB/f.u.
Fermi-level density of states   4.62 states/eV/f.u.

CIF file:
```
data_PmNdEuAl
_space_group_name_H-M_alt 'F -4 3 m'
_space_group_IT_number 216
_space_group_name_Hall 'F -4 2 3'
_cell_length_a 7.803
_cell_length_b 7.803
_cell_length_c 7.803
_cell_angle_alpha 90.00
_cell_angle_beta 90.00
_cell_angle_gamma 90.00
loop_
_atom_site_label
_atom_site_type_symbol
_atom_site_fract_x
_atom_site_fract_y
_atom_site_fract_z
_atom_site_occupancy
Pm1 Pm 0.000 0.000 0.000 1
Nd1 Nd 0.000 0.000 0.500 1
Eu1 Eu 0.250 0.250 0.250 1
Al1 Al 0.250 0.250 0.750 1
```

First-principles (PBE-GGA) data for a geometry-optimized PrNdEuAl structure, as listed in Alexandria.

Calculated values
Formation energy   -5.9 kJ per mole of atoms
Size of the total moment   7.245 μB/f.u.
Fermi-level density of states   4.48 states/eV/f.u.

CIF file:
```
data_PrNdEuAl
_space_group_name_H-M_alt 'F -4 3 m'
_space_group_IT_number 216
_space_group_name_Hall 'F -4 2 3'
_cell_length_a 7.848
_cell_length_b 7.848
_cell_length_c 7.848
_cell_angle_alpha 90.00
_cell_angle_beta 90.00
_cell_angle_gamma 90.00
loop_
_atom_site_label
_atom_site_type_symbol
_atom_site_fract_x
_atom_site_fract_y
_atom_site_fract_z
_atom_site_occupancy
Pr1 Pr 0.000 0.000 0.000 1
Nd1 Nd 0.000 0.000 0.500 1
Eu1 Eu 0.250 0.250 0.250 1
Al1 Al 0.250 0.250 0.750 1
```

First-principles (PBE-GGA) data for a geometry-optimized NdSmEuAl structure, as listed in Alexandria.

Calculated values
Formation energy   -5.1 kJ per mole of atoms
Size of the total moment   7.271 μB/f.u.
Fermi-level density of states   4.72 states/eV/f.u.

CIF file:
```
data_NdSmEuAl
_space_group_name_H-M_alt 'F -4 3 m'
_space_group_IT_number 216
_space_group_name_Hall 'F -4 2 3'
_cell_length_a 7.789
_cell_length_b 7.789
_cell_length_c 7.789
_cell_angle_alpha 90.00
_cell_angle_beta 90.00
_cell_angle_gamma 90.00
loop_
_atom_site_label
_atom_site_type_symbol
_atom_site_fract_x
_atom_site_fract_y
_atom_site_fract_z
_atom_site_occupancy
Nd1 Nd 0.000 0.000 0.000 1
Sm1 Sm 0.000 0.000 0.500 1
Eu1 Eu 0.250 0.250 0.750 1
Al1 Al 0.250 0.250 0.250 1
```

First-principles (PBE-GGA) data for a geometry-optimized EuAlNi2 structure, as listed in Alexandria.

Calculated values
Formation energy   -23.4 kJ per mole of atoms
Size of the total moment   7.071 μB/f.u.
Fermi-level density of states   3.60 states/eV/f.u.

CIF file:
```
data_EuAlNi2
_space_group_name_H-M_alt 'P 4/m m m'
_space_group_IT_number 123
_space_group_name_Hall '-P 4 2'
_cell_length_a 3.094
_cell_length_b 3.094
_cell_length_c 6.758
_cell_angle_alpha 90.00
_cell_angle_beta 90.00
_cell_angle_gamma 90.00
loop_
_atom_site_label
_atom_site_type_symbol
_atom_site_fract_x
_atom_site_fract_y
_atom_site_fract_z
_atom_site_occupancy
Eu1 Eu 0.000 0.000 0.000 1
Al1 Al 0.000 0.000 0.500 1
Ni1 Ni 0.500 0.500 0.313 1
```

First-principles (PBE-GGA) data for a geometry-optimized EuAlNi structure, as listed in Alexandria.

Calculated values
Formation energy   -26.9 kJ per mole of atoms
Size of the total moment   7.063 μB/f.u.
Fermi-level density of states   6.45 states/eV/f.u.

CIF file:
```
data_EuAlNi
_space_group_name_H-M_alt 'P -6 m 2'
_space_group_IT_number 187
_space_group_name_Hall 'P -6 2'
_cell_length_a 4.2204
_cell_length_b 4.2204
_cell_length_c 4.2060
_cell_angle_alpha 90.00
_cell_angle_beta 90.00
_cell_angle_gamma 120.00
loop_
_atom_site_label
_atom_site_type_symbol
_atom_site_fract_x
_atom_site_fract_y
_atom_site_fract_z
_atom_site_occupancy
Eu1 Eu 0.0000 0.0000 0.0000 1
Al1 Al 0.6667 0.3333 0.5000 1
Ni1 Ni 0.3333 0.6667 0.5000 1
```